[1]
CeNdC after structural relaxation. Source: the Alexandria database, functional GGA-PBE.

Geometry as POSCAR:
```
CeNdC
1.0
0.000 3.134 3.134
3.134 0.000 3.134
3.134 3.134 0.000
Ce Nd C
1 1 1
direct
0.000 0.000 0.000
0.500 0.500 0.500
0.250 0.250 0.250
```

Results
Its mass density is 7.992 g cm⁻³. The energy relative to the lowest polymorph listed for this composition is 0.317 eV/atom. For the total magnetic moment, the calculation gives 0.000 μB per formula unit. Its space group is F-43m. For the calculated formation energy, the calculation gives 0.2038 eV/atom.

***

[2]
CeNdC4 after structural relaxation. Source: the Alexandria database, functional GGA-PBE.

Geometry as POSCAR:
```
CeNdC4
1.0
3.815 0.000 0.000
0.000 3.815 0.000
0.000 0.000 6.415
Ce Nd C
1 1 4
direct
0.000 0.000 0.000
0.500 0.500 0.500
0.000 0.000 0.398
0.000 0.000 0.602
0.500 0.500 0.102
0.500 0.500 0.898
```

Results
Its mass density is 5.913 g cm⁻³. For the total magnetic moment, the calculation gives 0.767 μB per formula unit. Its space group is P4/mmm. For the calculated formation energy, the calculation gives -0.1260 eV/atom.

***

[3]
Ce2NdC3 after structural relaxation. Source: the Alexandria database, functional GGA-PBE.

Geometry as POSCAR:
```
Ce2NdC3
1.0
-2.863 5.198 3.845
2.863 -5.198 3.845
2.863 5.198 -3.845
Ce Nd C
4 2 6
direct
0.242 0.169 0.072
0.403 0.831 0.572
0.597 0.169 0.428
0.758 0.831 0.928
0.202 0.452 0.750
0.798 0.548 0.250
0.000 0.379 0.379
0.000 0.621 0.621
0.500 0.000 0.000
0.500 0.379 0.879
0.500 0.500 0.500
0.500 0.621 0.121
```

Results
Its mass density is 6.682 g cm⁻³. For the total magnetic moment, the calculation gives 0.000 μB per formula unit. Its space group is Imma. For the calculated formation energy, the calculation gives -0.0835 eV/atom.

***

[4]
CeNdC after structural relaxation. Source: the Alexandria database, functional GGA-PBE.

Geometry as POSCAR:
```
CeNdC
1.0
3.642 0.000 0.000
-1.821 3.154 0.000
0.000 0.000 12.621
Ce Nd C
2 2 2
direct
0.000 0.000 0.111
0.000 0.000 0.889
0.333 0.667 0.382
0.333 0.667 0.618
0.000 0.000 0.500
0.333 0.667 0.000
```

Results
Its mass density is 6.790 g cm⁻³. The energy relative to the lowest polymorph listed for this composition is 0.258 eV/atom. For the total magnetic moment, the calculation gives 0.722 μB per formula unit. Its space group is P-6m2. For the calculated formation energy, the calculation gives 0.1454 eV/atom.

***

[5]
CeNdC after structural relaxation. Source: the Alexandria database, functional GGA-PBE.

Geometry as POSCAR:
```
CeNdC
1.0
3.547 0.000 0.000
0.000 1.657 5.876
0.000 -1.657 5.876
Ce Nd C
1 1 1
direct
0.000 0.000 0.000
0.500 0.765 0.765
0.500 0.438 0.438
```

Results
Its mass density is 7.125 g cm⁻³. The energy relative to the lowest polymorph listed for this composition is 0.214 eV/atom. For the total magnetic moment, the calculation gives 0.000 μB per formula unit. Its space group is Amm2. For the calculated formation energy, the calculation gives 0.1013 eV/atom.

***

[6]
CeNdC after structural relaxation. Source: the Alexandria database, functional GGA-PBE.

Geometry as POSCAR:
```
CeNdC
1.0
3.131 -1.808 0.000
3.131 1.808 0.000
-2.040 0.000 6.572
Ce Nd C
1 1 1
direct
0.000 0.000 0.000
0.474 0.474 0.431
0.731 0.731 0.197
```

Results
Its mass density is 6.612 g cm⁻³. The energy relative to the lowest polymorph listed for this composition is 0.000 eV/atom. For the total magnetic moment, the calculation gives 0.787 μB per formula unit. Its space group is Cm. For the calculated formation energy, the calculation gives -0.1131 eV/atom.

***

[7]
CeNdC2 after structural relaxation. Source: the Alexandria database, functional GGA-PBE.

Geometry as POSCAR:
```
CeNdC2
1.0
1.852 1.069 6.038
-1.852 1.069 6.038
0.000 -2.139 6.038
Ce Nd C
1 1 2
direct
0.000 0.000 0.000
0.500 0.500 0.500
0.257 0.257 0.257
0.743 0.743 0.743
```

Results
Its mass density is 7.136 g cm⁻³. For the total magnetic moment, the calculation gives 0.000 μB per formula unit. Its space group is R-3m. For the calculated formation energy, the calculation gives 0.1015 eV/atom.

***

[8]
CeNdC after structural relaxation. Source: the Alexandria database, functional GGA-PBE.

Geometry as POSCAR:
```
CeNdC
1.0
3.609 0.000 0.000
-1.804 3.125 0.000
0.000 0.000 6.558
Ce Nd C
1 1 1
direct
0.000 0.000 0.000
0.667 0.333 0.433
0.333 0.667 0.197
```

Results
Its mass density is 6.653 g cm⁻³. The energy relative to the lowest polymorph listed for this composition is 0.001 eV/atom. For the total magnetic moment, the calculation gives 0.681 μB per formula unit. Its space group is P3m1. For the calculated formation energy, the calculation gives -0.1125 eV/atom.